## YBiPt4 (PBE-GGA)

Data for crystalline YBiPt4 at its relaxed geometry.

a b c (Å): 5.465 5.465 5.465
angles (deg): 60.00 60.00 60.00
Element x y z (fractional)
Y 0.000 0.000 0.000
Bi 0.750 0.750 0.750
Pt 0.375 0.375 0.375
Pt 0.375 0.375 0.876
Pt 0.375 0.876 0.375
Pt 0.876 0.375 0.375

Results
As for the space-group type: No. 216. The value obtained for the density of states at the Fermi level is 0.2026 states/eV per atom. For the raw total energy, the calculation gives -38.516 eV for the cell shown. As for the magnetic moment: 0.000 μB/cell. Its formation energy is -0.668 eV per atom.